1.
Below is a relaxed structure of Pm8CdIn2, with properties calculated at the PBE level.

The structure in POSCAR format:
```
Pm8CdIn2
1.0
-4.122 -1.019 -3.046
2.589 -8.349 -0.710
-3.285 2.911 7.952
In Pm Cd
2 8 1
direct
0.805 0.305 0.610
0.195 0.695 0.390
0.141 0.141 0.281
0.000 0.316 0.000
0.859 0.859 0.719
0.342 0.121 0.683
0.658 0.879 0.317
0.000 0.684 0.000
0.342 0.562 0.683
0.658 0.438 0.317
0.500 0.000 0.000
```

**Total magnetization**: 0.0 μB/f.u.
**Total energy**: -4.2080 eV per atom
**Space group**: Immm
**Formation enthalpy at 0 K**: -0.17 eV/atom
**Excess energy over the best structure of this formula in the dataset**: 22 meV/atom


2.
Below is a relaxed structure of PmCd2In2, with properties calculated at the PBE level.

The structure in POSCAR format:
```
PmCd2In2
1.0
6.451 0.000 0.000
0.000 5.034 0.000
0.000 -2.517 4.360
Pm In Cd
1 2 2
direct
0.000 0.000 0.000
0.259 0.333 0.667
0.741 0.667 0.333
0.740 0.333 0.667
0.260 0.667 0.333
```

**Total magnetization**: 0.0 μB/f.u.
**Total energy**: -2.5562 eV per atom
**Space group**: P-3m1
**Formation enthalpy at 0 K**: -0.14 eV/atom
**Excess energy over the best structure of this formula in the dataset**: 0 meV/atom


3.
Below is a relaxed structure of Pm5CdIn8, with properties calculated at the PBE level.

The structure in POSCAR format:
```
Pm5CdIn8
1.0
-6.628 -4.287 1.680
6.312 -3.517 3.595
-0.625 7.567 2.737
Pm In Cd
5 8 1
direct
0.402 0.149 0.028
0.747 0.626 0.598
0.500 0.000 0.500
0.972 0.374 0.121
0.879 0.851 0.253
0.973 0.106 0.721
0.133 0.748 0.027
0.427 0.582 0.180
0.279 0.252 0.385
0.598 0.418 0.845
0.615 0.894 0.867
0.820 0.247 0.402
0.155 0.753 0.573
0.250 0.500 0.750
```

**Total magnetization**: 0.0 μB/f.u.
**Total energy**: -3.6257 eV per atom
**Space group**: I-4
**Formation enthalpy at 0 K**: -0.30 eV/atom


4.
Below is a relaxed structure of PmCd4In2, with properties calculated at the PBE level.

The structure in POSCAR format:
```
PmCd4In2
1.0
4.494 0.000 0.000
0.000 4.557 0.000
0.000 -2.278 8.490
In Cd Pm
2 4 1
direct
0.500 0.419 0.839
0.500 0.581 0.161
0.000 0.690 0.380
0.500 0.185 0.370
0.500 0.815 0.630
0.000 0.310 0.620
0.000 0.000 0.000
```

**Total magnetization**: 0.0 μB/f.u.
**Total energy**: -2.1295 eV per atom
**Space group**: Cmmm
**Formation enthalpy at 0 K**: -0.15 eV/atom


5.
Below is a relaxed structure of Pm4Cd7In, with properties calculated at the PBE level.

The structure in POSCAR format:
```
Pm4Cd7In
1.0
5.659 0.000 0.000
2.830 10.424 -0.889
2.830 -0.059 5.642
Pm Cd In
4 7 1
direct
0.796 0.637 0.771
0.356 0.783 0.505
0.644 0.217 0.495
0.204 0.363 0.229
0.500 0.000 0.000
0.381 0.491 0.747
0.081 0.681 0.158
0.919 0.319 0.842
0.206 0.084 0.505
0.794 0.916 0.495
0.619 0.509 0.253
0.000 0.000 0.000
```

**Total magnetization**: 0.0 μB/f.u.
**Total energy**: -2.4581 eV per atom
**Space group**: C2/m
**Formation enthalpy at 0 K**: -0.11 eV/atom


6.
Below is a relaxed structure of Pm3Cd4In, with properties calculated at the PBE level.

The structure in POSCAR format:
```
Pm3Cd4In
1.0
-3.700 -3.408 -4.520
2.901 -4.853 3.710
-4.387 4.365 2.726
Cd Pm In
4 3 1
direct
0.526 0.263 0.263
0.000 0.263 0.737
0.000 0.737 0.263
0.474 0.737 0.737
0.000 0.000 0.000
0.500 0.250 0.750
0.500 0.750 0.250
0.000 0.500 0.500
```

**Total magnetization**: 0.0 μB/f.u.
**Total energy**: -2.7168 eV per atom
**Space group**: I4/mmm
**Formation enthalpy at 0 K**: -0.14 eV/atom
**Excess energy over the best structure of this formula in the dataset**: 49 meV/atom


7.
Below is a relaxed structure of Pm3Cd6In2, with properties calculated at the PBE level.

The structure in POSCAR format:
```
Pm3Cd6In2
1.0
4.309 0.000 0.000
0.000 4.309 0.000
-2.154 -2.154 16.482
Pm Cd In
3 6 2
direct
0.000 0.000 0.000
0.830 0.830 0.659
0.170 0.170 0.341
0.076 0.576 0.152
0.424 0.924 0.848
0.576 0.076 0.152
0.269 0.269 0.539
0.731 0.731 0.461
0.924 0.424 0.848
0.359 0.359 0.718
0.641 0.641 0.282
```

**Total magnetization**: 0.0 μB/f.u.
**Total energy**: -2.4324 eV per atom
**Space group**: I4/mmm
**Formation enthalpy at 0 K**: -0.14 eV/atom


8.
Below is a relaxed structure of Pm4CdIn2, with properties calculated at the PBE level.

The structure in POSCAR format:
```
Pm4CdIn2
1.0
-2.568 -1.060 -5.194
-2.142 -5.072 2.094
-3.082 6.207 3.597
Cd In Pm
1 2 4
direct
0.000 0.000 0.000
0.623 0.623 0.246
0.377 0.377 0.754
0.750 0.250 0.500
0.250 0.750 0.500
0.500 0.000 0.000
0.000 0.500 0.000
```

**Total magnetization**: 0.0 μB/f.u.
**Total energy**: -3.6584 eV per atom
**Space group**: I4/mmm
**Formation enthalpy at 0 K**: -0.03 eV/atom
**Excess energy over the best structure of this formula in the dataset**: 268 meV/atom